{
  "formula": "ReO4",
  "functional": "PBE",
  "state": "relaxed",
  "e_form_raw_ev_per_atom": -0.650,
  "lattice": [[4.6209, 0.0000, 0.0000], [0.0000, 4.6209, 0.0000], [0.0000, 0.0000, 5.4137]],
  "species": ["Re", "Re", "O", "O", "O", "O", "O", "O", "O", "O"],
  "fractional_positions": [[0.2500, 0.2500, 0.0000], [0.7500, 0.7500, 0.0000], [0.0799, 0.5799, 0.1965], [0.0799, 0.9201, 0.8035], [0.4201, 0.5799, 0.8035], [0.4201, 0.9201, 0.1965], [0.5799, 0.0799, 0.8035], [0.5799, 0.4201, 0.1965], [0.9201, 0.0799, 0.1965], [0.9201, 0.4201, 0.8035]]
}

{
  "formula": "Y4GaSi3",
  "functional": "PBE",
  "state": "relaxed",
  "e_form_raw_ev_per_atom": -0.816,
  "lattice": [[3.8977, 0.0000, 0.0000], [0.0000, 4.2964, 0.0000], [0.0000, 0.0000, 10.6669]],
  "species": ["Y", "Y", "Y", "Y", "Ga", "Si", "Si", "Si"],
  "fractional_positions": [[0.0000, 0.0000, 0.0000], [0.0000, 0.5000, 0.4952], [0.5000, 0.0000, 0.7155], [0.5000, 0.5000, 0.2169], [0.0000, 0.5000, 0.7814], [0.0000, 0.0000, 0.2816], [0.5000, 0.0000, 0.4314], [0.5000, 0.5000, 0.9351]]
}

{
  "formula": "PmEuPuPb",
  "functional": "PBE",
  "state": "relaxed",
  "delta_e_f_mev_per_atom": 17.1,
  "lattice": [[7.9076, 0.0000, 0.0000], [0.0000, 7.9076, 0.0000], [0.0000, 0.0000, 7.9076]],
  "species": ["Pm", "Pm", "Pm", "Pm", "Eu", "Eu", "Eu", "Eu", "Pu", "Pu", "Pu", "Pu", "Pb", "Pb", "Pb", "Pb"],
  "fractional_positions": [[0.0000, 0.0000, 0.0000], [0.0000, 0.5000, 0.5000], [0.5000, 0.0000, 0.5000], [0.5000, 0.5000, 0.0000], [0.2500, 0.2500, 0.7500], [0.2500, 0.7500, 0.2500], [0.7500, 0.2500, 0.2500], [0.7500, 0.7500, 0.7500], [0.2500, 0.2500, 0.2500], [0.2500, 0.7500, 0.7500], [0.7500, 0.2500, 0.7500], [0.7500, 0.7500, 0.2500], [0.0000, 0.0000, 0.5000], [0.0000, 0.5000, 0.0000], [0.5000, 0.0000, 0.0000], [0.5000, 0.5000, 0.5000]]
}